# CsMg3V, optimized geometry, DFT PBE-GGA
data_CsMg3V
_cell_length_a 5.644
_cell_length_b 5.644
_cell_length_c 5.644
_cell_angle_alpha 90.00
_cell_angle_beta 90.00
_cell_angle_gamma 90.00
_space_group_name_H-M_alt 'P m -3 m'
_space_group_IT_number 221
_space_group_name_Hall '-P 4 2 3'
loop_
_atom_site_label
_atom_site_type_symbol
_atom_site_fract_x
_atom_site_fract_y
_atom_site_fract_z
Cs1 Cs 0.000 0.000 0.000
Mg1 Mg 0.000 0.500 0.500
V1 V 0.500 0.500 0.500
# - ΔE_f (eV/atom) = 0.6043
# - DOS at the Fermi energy (states/eV per atom) = 0.810
# - magnetization (μB/f.u.) = 5.08
# - uncorrected energy (eV/atom) = -2.347



# SbCSCl2, optimized geometry, DFT PBE-GGA
data_SbCSCl2
_cell_length_a 4.440
_cell_length_b 4.440
_cell_length_c 4.388
_cell_angle_alpha 90.00
_cell_angle_beta 90.00
_cell_angle_gamma 90.00
_space_group_name_H-M_alt 'P 4/m m m'
_space_group_IT_number 123
_space_group_name_Hall '-P 4 2'
loop_
_atom_site_label
_atom_site_type_symbol
_atom_site_fract_x
_atom_site_fract_y
_atom_site_fract_z
Sb1 Sb 0.000 0.000 0.000
C1 C 0.500 0.500 0.500
S1 S 0.500 0.500 0.000
Cl1 Cl 0.000 0.500 0.500
# - formation energy without anion corrections (eV/atom) = 0.950
# - DOS at the Fermi energy (states/eV per atom) = 0.499
# - magnetization (μB/f.u.) = 0.00
# - uncorrected energy (eV/atom) = -3.283